[1]
PdRhO2: relaxed, PBE.

Values from the calculation:
Its magnetic moment is 0.6 μB/f.u. As for the crystal system: tetragonal. The calculation puts the formation energy from raw total energies at 0.25 eV per atom.

Unit cell a=5.646 b=5.646 c=6.314 alpha=90.00 beta=90.00 gamma=90.00
Space group I4/mcm (No. 140)
One atom of each set of equivalent atoms:
Pd (0.000, 0.000, 0.250) [4 per cell]
Rh (0.000, 0.500, 0.250) [4 per cell]
O (0.155, 0.345, 0.000) [8 per cell]

---

[2]
CrSiB2: relaxed, PBE.

Values from the calculation:
Its magnetic moment is 0.0 μB/f.u. As for the crystal system: tetragonal. The calculation puts the formation energy from raw total energies at 0.77 eV per atom.

Unit cell a=4.932 b=4.932 c=8.000 alpha=90.00 beta=90.00 gamma=90.00
Space group I-42d (No. 122)
One atom of each set of equivalent atoms:
Cr (0.000, 0.000, 0.000) [4 per cell]
Si (0.000, 0.000, 0.500) [4 per cell]
B (0.246, 0.250, 0.125) [8 per cell]

---

[3]
Nd5Zn2Cd: relaxed, PBE.

Values from the calculation:
Its magnetic moment is 0.0 μB/f.u. As for the crystal system: tetragonal. As for the formation enthalpy at 0 K: -0.211 eV/atom.

Unit cell a=8.577 b=8.577 c=12.493 alpha=90.00 beta=90.00 gamma=90.00
Space group I4/mcm (No. 140)
One atom of each set of equivalent atoms:
Nd (0.000, 0.000, 0.000) [4 per cell]
Nd (0.152, 0.348, 0.146) [16 per cell]
Zn (0.144, 0.356, 0.500) [8 per cell]
Cd (0.000, 0.000, 0.250) [4 per cell]

---

[4]
RbPmInTe3: relaxed, PBE.

Values from the calculation:
Its magnetic moment is 0.0 μB/f.u. As for the crystal system: monoclinic. The calculation puts the formation energy from raw total energies at -0.94 eV per atom.

Unit cell a=9.874 b=4.650 c=11.795 alpha=90.00 beta=106.38 gamma=90.00
Space group P2_1/m (No. 11)
One atom of each set of equivalent atoms:
Rb (0.197, 0.250, 0.216) [2 per cell]
Pm (0.339, 0.750, 0.875) [2 per cell]
In (0.063, 0.250, 0.623) [2 per cell]
Te (0.118, 0.250, 0.881) [2 per cell]
Te (0.231, 0.750, 0.583) [2 per cell]
Te (0.453, 0.750, 0.151) [2 per cell]

---

[5]
La2MgTcO6: relaxed, PBE.

Values from the calculation:
Its magnetic moment is 3.0 μB/f.u. As for the crystal system: cubic. The calculation puts the formation energy from raw total energies at -2.62 eV per atom.

Unit cell a=7.952 b=7.952 c=7.952 alpha=90.00 beta=90.00 gamma=90.00
Space group Fm-3m (No. 225)
One atom of each set of equivalent atoms:
La (0.250, 0.250, 0.250) [8 per cell]
Mg (0.000, 0.000, 0.000) [4 per cell]
Tc (0.000, 0.000, 0.500) [4 per cell]
O (0.000, 0.000, 0.250) [24 per cell]

---

[6]
EuHg2Te: relaxed, PBE.

Values from the calculation:
Its magnetic moment is 7.8 μB/f.u. As for the crystal system: trigonal. The calculation puts the formation energy from raw total energies at 0.05 eV per atom.

Unit cell a=3.6195 b=3.6195 c=34.5373 alpha=90.00 beta=90.00 gamma=120.00
Space group R-3m (No. 166, hexagonal axes)
One atom of each set of equivalent atoms:
Eu (0.0000, 0.0000, 0.0000) [3 per cell]
Hg (0.0000, 0.0000, 0.0910) [6 per cell]
Te (0.0000, 0.0000, 0.5000) [3 per cell]

---

[7]
LaMnPd2I: relaxed, PBE.

Values from the calculation:
Its magnetic moment is 3.0 μB/f.u. As for the crystal system: tetragonal. The calculation puts the formation energy from raw total energies at 0.34 eV per atom.

Unit cell a=5.088 b=5.088 c=4.881 alpha=90.00 beta=90.00 gamma=90.00
Space group P4/mmm (No. 123)
One atom of each set of equivalent atoms:
La (0.000, 0.000, 0.000) [1 per cell]
Mn (0.500, 0.500, 0.000) [1 per cell]
Pd (0.000, 0.500, 0.500) [2 per cell]
I (0.500, 0.500, 0.500) [1 per cell]

---

[8]
Ce2HfIn: relaxed, PBE.

Values from the calculation:
Its magnetic moment is 0.0 μB/f.u. As for the crystal system: tetragonal. As for the formation enthalpy at 0 K: -0.089 eV/atom.

Unit cell a=3.198 b=3.198 c=10.069 alpha=90.00 beta=90.00 gamma=90.00
Space group P4/mmm (No. 123)
One atom of each set of equivalent atoms:
Ce (0.000, 0.000, 0.245) [2 per cell]
Hf (0.500, 0.500, 0.000) [1 per cell]
In (0.500, 0.500, 0.500) [1 per cell]